Below is a geometry-optimized La2TaTe structure, with properties calculated at the PBE-GGA level.

Cell and atoms, written as CIF:
```
data_La2TaTe
_cell_length_a 4.760
_cell_length_b 5.455
_cell_length_c 8.917
_cell_angle_alpha 90.00
_cell_angle_beta 90.00
_cell_angle_gamma 90.00
_space_group_name_H-M_alt 'C m m m'
_space_group_IT_number 65
_space_group_name_Hall '-C 2 2'
loop_
_atom_site_label
_atom_site_fract_x
_atom_site_fract_y
_atom_site_fract_z
La1 0.000 0.000 0.248
Ta1 0.000 0.500 0.000
Te1 0.000 0.500 0.500
```

Properties
Uncorrected energy (eV/atom): -6.360
Energy relative to the elements, uncorrected (kJ per mole of atoms): -14.27